This record from the Alexandria database describes a relaxed KCuRh2 crystal. The functional is PBE-GGA.

abc: 5.122 5.122 2.661
angles: 90.00 90.00 90.00
Space group P4/mmm (No. 123)
Inequivalent atoms, fractional coordinates:
K 0.000 0.000 0.000
Cu 0.500 0.500 0.000
Rh 0.000 0.500 0.500

Properties
- calculated density (g cm⁻³) = 7.34
- offset from the most stable computed form (eV per atom) = 0.513
- DOS(E_F) (states/eV/cell) = 3.7
- VASP energy (eV/cell) = -16.2
- energy relative to the elements (eV per atom) = 0.91
- M_tot (μB/atom) = 0.33



This record from the Alexandria database describes a relaxed KCuRh4 crystal. The functional is PBE-GGA.

abc: 7.484 7.484 7.484
angles: 90.00 90.00 90.00
Space group F-43m (No. 216)
Inequivalent atoms, fractional coordinates:
K 0.000 0.000 0.000
Cu 0.250 0.250 0.250
Rh 0.124 0.124 0.624

Properties
- calculated density (g cm⁻³) = 8.15
- DOS(E_F) (states/eV/cell) = 51.2
- VASP energy (eV/cell) = -123.4
- energy relative to the elements (eV per atom) = 0.63
- M_tot (μB/atom) = 0.44



This record from the Alexandria database describes a relaxed KCu2Rh crystal. The functional is PBE-GGA.

abc: 6.528 6.528 6.528
angles: 90.00 90.00 90.00
Space group Fm-3m (No. 225)
Inequivalent atoms, fractional coordinates:
K 0.000 0.000 0.000
Cu 0.250 0.250 0.250
Rh 0.000 0.000 0.500

Properties
- calculated density (g cm⁻³) = 6.43
- offset from the most stable computed form (eV per atom) = 0.380
- DOS(E_F) (states/eV/cell) = 3.2
- VASP energy (eV/cell) = -54.8
- energy relative to the elements (eV per atom) = 0.73
- M_tot (μB/atom) = 0.00



This record from the Alexandria database describes a relaxed KCuRhS2 crystal. The functional is PBE-GGA.

abc: 5.672 13.584 5.438
angles: 90.00 90.00 90.00
Space group Cmme (No. 67)
Inequivalent atoms, fractional coordinates:
K 0.000 0.250 0.242
Cu 0.000 0.000 0.000
Rh 0.250 0.000 0.500
S 0.000 0.111 0.715

Properties
- calculated density (g cm⁻³) = 4.27
- DOS(E_F) (states/eV/cell) = 12.6
- VASP energy (eV/cell) = -92.6
- M_tot (μB/atom) = 0.11
- E_form (uncorrected) (eV per atom) = -0.47



This record from the Alexandria database describes a relaxed KCuRhS3 crystal. The functional is PBE-GGA.

abc: 8.015 3.714 9.074
angles: 90.00 112.18 90.00
Space group P2_1/m (No. 11)
Inequivalent atoms, fractional coordinates:
K 0.233 0.250 0.256
Cu 0.078 0.250 0.601
Rh 0.321 0.750 0.852
S 0.131 0.250 0.864
S 0.228 0.750 0.557
S 0.479 0.750 0.131

Properties
- calculated density (g cm⁻³) = 4.01
- DOS(E_F) (states/eV/cell) = 5.3
- VASP energy (eV/cell) = -56.9
- M_tot (μB/atom) = 0.00
- E_form (uncorrected) (eV per atom) = -0.58



This record from the Alexandria database describes a relaxed K2Cu2RhS4 crystal. The functional is PBE-GGA.

abc: 14.120 3.791 7.240
angles: 90.00 110.37 90.00
Space group C2/m (No. 12)
Inequivalent atoms, fractional coordinates:
K 0.130 0.000 0.055
Cu 0.189 0.500 0.490
Rh 0.000 0.000 0.500
S 0.018 0.500 0.297
S 0.184 0.000 0.665

Properties
- calculated density (g cm⁻³) = 3.99
- DOS(E_F) (states/eV/cell) = 14.3
- VASP energy (eV/cell) = -79.4
- M_tot (μB/atom) = 0.00
- E_form (uncorrected) (eV per atom) = -0.60



This record from the Alexandria database describes a relaxed KCuRhSe2 crystal. The functional is PBE-GGA.

abc: 5.522 13.084 6.895
angles: 90.00 90.00 90.00
Space group Cmme (No. 67)
Inequivalent atoms, fractional coordinates:
K 0.000 0.250 0.223
Cu 0.000 0.000 0.500
Rh 0.250 0.000 0.000
Se 0.000 0.101 0.773

Properties
- calculated density (g cm⁻³) = 4.85
- DOS(E_F) (states/eV/cell) = 10.0
- VASP energy (eV/cell) = -86.8
- M_tot (μB/atom) = 0.00
- E_form (uncorrected) (eV per atom) = -0.44



This record from the Alexandria database describes a relaxed K2CuTeRh crystal. The functional is PBE-GGA.

abc: 6.168 6.168 4.627
angles: 90.00 90.00 90.00
Space group P4/mmm (No. 123)
Inequivalent atoms, fractional coordinates:
K 0.000 0.500 0.000
Cu 0.000 0.000 0.500
Te 0.500 0.500 0.500
Rh 0.000 0.000 0.000

Properties
- calculated density (g cm⁻³) = 3.51
- offset from the most stable computed form (eV per atom) = 0.146
- DOS(E_F) (states/eV/cell) = 5.4
- VASP energy (eV/cell) = -14.4
- M_tot (μB/atom) = 0.41
- E_form (uncorrected) (eV per atom) = 0.48